Here is a geometry-optimized Ca2PaTaP4 structure from Alexandria. Energies are from PBE.

Values from the calculation:
V = 21.436 A^3/atom
E_form = -8.46 eV per formula unit

Structure (CIF):
```
data_Ca2PaTaP4
_symmetry_space_group_name_H-M 'P 1 2/m 1'
_symmetry_Int_Tables_number 10
_symmetry_space_group_name_Hall '-P 2y'
_cell_length_a 6.670
_cell_length_b 3.879
_cell_length_c 6.986
_cell_angle_alpha 90.00
_cell_angle_beta 108.41
_cell_angle_gamma 90.00
loop_
_atom_site_label
_atom_site_type_symbol
_atom_site_fract_x
_atom_site_fract_y
_atom_site_fract_z
Ca1 Ca 0.000 0.000 0.000
Ca2 Ca 0.500 0.500 0.000
Pa1 Pa 0.000 0.500 0.500
Ta1 Ta 0.500 0.000 0.500
P1 P 0.259 0.000 0.728
P2 P 0.274 0.500 0.281
```

---

Here is a geometry-optimized Ca2TbPaP4 structure from Alexandria. Energies are from PBE.

Values from the calculation:
V = 24.007 A^3/atom
E_form = -10.72 eV per formula unit

Structure (CIF):
```
data_Ca2TbPaP4
_symmetry_space_group_name_H-M 'P 1 2/m 1'
_symmetry_Int_Tables_number 10
_symmetry_space_group_name_Hall '-P 2y'
_cell_length_a 7.031
_cell_length_b 4.102
_cell_length_c 7.057
_cell_angle_alpha 90.00
_cell_angle_beta 109.32
_cell_angle_gamma 90.00
loop_
_atom_site_label
_atom_site_type_symbol
_atom_site_fract_x
_atom_site_fract_y
_atom_site_fract_z
Ca1 Ca 0.000 0.000 0.000
Ca2 Ca 0.500 0.500 0.000
Tb1 Tb 0.000 0.500 0.500
Pa1 Pa 0.500 0.000 0.500
P1 P 0.254 0.000 0.731
P2 P 0.265 0.500 0.271
```

---

Here is a geometry-optimized CaTbPa2P4 structure from Alexandria. Energies are from PBE.

Values from the calculation:
V = 22.743 A^3/atom
E_form = -10.76 eV per formula unit

Structure (CIF):
```
data_CaTbPa2P4
_symmetry_space_group_name_H-M 'I -4 m 2'
_symmetry_Int_Tables_number 119
_symmetry_space_group_name_Hall 'I -4 -2'
_cell_length_a 5.654
_cell_length_b 5.654
_cell_length_c 11.385
_cell_angle_alpha 90.00
_cell_angle_beta 90.00
_cell_angle_gamma 90.00
loop_
_atom_site_label
_atom_site_type_symbol
_atom_site_fract_x
_atom_site_fract_y
_atom_site_fract_z
Ca1 Ca 0.000 0.000 0.000
Tb1 Tb 0.000 0.500 0.750
Pa1 Pa 0.000 0.000 0.500
Pa2 Pa 0.000 0.500 0.250
P1 P 0.000 0.000 0.256
P2 P 0.000 0.500 0.004
```